Computed, not measured: a relaxed structure of Ca5In2Si2 at the PBE level of DFT.

Cell and atoms, written as POSCAR:
```
Ca5In2Si2
1.0
7.1972 0.0000 2.6125
0.0000 7.6293 0.0000
0.6233 0.0000 9.5030
Ca Si In
10 4 4
Direct
0.1968 0.1803 0.2428
0.8032 0.8197 0.7572
0.0000 0.0000 0.0000
0.0604 0.6803 0.2428
0.3032 0.6803 0.7572
0.6968 0.3197 0.2428
0.4396 0.1803 0.7572
0.9396 0.3197 0.7572
0.5604 0.8197 0.2428
0.5000 0.5000 0.0000
0.6113 0.1119 0.0000
0.1113 0.3881 0.0000
0.3887 0.8881 0.0000
0.8887 0.6119 0.0000
0.7766 0.0000 0.4469
0.2766 0.5000 0.4469
0.2234 0.0000 0.5531
0.7234 0.5000 0.5531
```

Values from the calculation:
E (eV/atom): -3.350
E_form (uncorrected) (meV/atom): -424.5